Entry 1:
CsGa2Sn8 | PBE | optimized geometry

Results
Total moment (μB/cell): 0.00
V (Å³ per atom): 30.939
N(E_F) (states/eV/cell): 4.18
Energy relative to the lowest polymorph listed for this composition (eV/atom): 0.000
Symmetry: C2/m, No. 12
Formation energy from the elements (eV per atom): 0.0194

Lattice parameters (Å, degrees): 8.075 8.075 6.656 96.52 96.52 52.23
Positions (direct):
Cs1 0.000 0.000 0.000
Ga1 0.485 0.485 0.206
Ga2 0.515 0.515 0.794
Sn1 0.114 0.669 0.488
Sn2 0.273 0.273 0.218
Sn3 0.300 0.300 0.760
Sn4 0.331 0.886 0.512
Sn5 0.669 0.114 0.488
Sn6 0.700 0.700 0.240
Sn7 0.727 0.727 0.782
Sn8 0.886 0.331 0.512

---

Entry 2:
Cs3GaSn | PBE | optimized geometry

Results
Total moment (μB/cell): 2.29
V (Å³ per atom): 66.706
N(E_F) (states/eV/cell): 4.78
Energy relative to the lowest polymorph listed for this composition (eV/atom): 0.387
Symmetry: Pm-3m, No. 221
Formation energy from the elements (eV per atom): 0.3673

Lattice parameters (Å, degrees): 6.935 6.935 6.935 90.00 90.00 90.00
Positions (direct):
Cs1 0.000 0.000 0.500
Cs2 0.000 0.500 0.000
Cs3 0.500 0.000 0.000
Ga1 0.000 0.000 0.000
Sn1 0.500 0.500 0.500

---

Entry 3:
Cs4GaSn4 | PBE | optimized geometry

Results
Total moment (μB/cell): 1.82
V (Å³ per atom): 55.074
N(E_F) (states/eV/cell): 9.95
Symmetry: I-42m, No. 121
Formation energy from the elements (eV per atom): 0.0186

Lattice parameters (Å, degrees): 9.881 9.881 9.881 133.70 133.70 67.56
Positions (direct):
Cs1 0.053 0.694 0.000
Cs2 0.306 0.306 0.359
Cs3 0.694 0.053 0.000
Cs4 0.947 0.947 0.641
Ga1 0.500 0.500 0.000
Sn1 0.227 0.227 0.733
Sn2 0.494 0.494 0.267
Sn3 0.506 0.773 0.000
Sn4 0.773 0.506 0.000

---

Entry 4:
CsGaSn2 | PBE | optimized geometry

Results
Total moment (μB/cell): 0.00
V (Å³ per atom): 36.249
N(E_F) (states/eV/cell): 1.20
Symmetry: R-3m, No. 166
Formation energy from the elements (eV per atom): -0.0719

Lattice parameters (Å, degrees): 8.162 8.162 8.162 33.18 33.18 33.18
Positions (direct):
Cs1 0.000 0.000 0.000
Ga1 0.500 0.500 0.500
Sn1 0.212 0.212 0.212
Sn2 0.788 0.788 0.788

---

Entry 5:
CsGaSn | PBE | optimized geometry

Results
Total moment (μB/cell): 0.00
V (Å³ per atom): 35.645
N(E_F) (states/eV/cell): 4.98
Symmetry: Pmc2_1, No. 26
Formation energy from the elements (eV per atom): -0.0906

Lattice parameters (Å, degrees): 6.538 7.527 8.692 90.00 90.00 90.00
Positions (direct):
Cs1 0.000 0.120 0.000
Cs2 0.000 0.880 0.500
Cs3 0.500 0.120 0.296
Cs4 0.500 0.880 0.796
Ga1 0.000 0.385 0.359
Ga2 0.000 0.615 0.859
Ga3 0.500 0.386 0.937
Ga4 0.500 0.614 0.437
Sn1 0.250 0.388 0.648
Sn2 0.250 0.612 0.148
Sn3 0.750 0.388 0.648
Sn4 0.750 0.612 0.148

---

Entry 6:
Cs2GaSn | PBE | optimized geometry

Results
Total moment (μB/cell): 0.00
V (Å³ per atom): 47.906
N(E_F) (states/eV/cell): 13.84
Energy relative to the lowest polymorph listed for this composition (eV/atom): 0.022
Symmetry: P2_1/c, No. 14
Formation energy from the elements (eV per atom): -0.0905

Lattice parameters (Å, degrees): 7.937 7.934 14.528 90.00 123.09 90.00
Positions (direct):
Cs1 0.007 0.234 0.418
Cs2 0.007 0.266 0.918
Cs3 0.328 0.734 0.918
Cs4 0.328 0.766 0.418
Cs5 0.672 0.234 0.582
Cs6 0.672 0.266 0.082
Cs7 0.993 0.734 0.082
Cs8 0.993 0.766 0.582
Ga1 0.440 0.000 0.190
Ga2 0.440 0.500 0.690
Ga3 0.560 0.000 0.810
Ga4 0.560 0.500 0.310
Sn1 0.294 0.250 0.250
Sn2 0.294 0.250 0.750
Sn3 0.706 0.750 0.250
Sn4 0.706 0.750 0.750

---

Entry 7:
Cs2Ga3Sn5 | PBE | optimized geometry

Results
Total moment (μB/cell): 0.00
V (Å³ per atom): 30.760
N(E_F) (states/eV/cell): 6.59
Symmetry: Ibam, No. 72
Formation energy from the elements (eV per atom): -0.1445

Lattice parameters (Å, degrees): 10.010 10.010 10.010 110.75 85.07 137.03
Positions (direct):
Cs1 0.125 0.243 0.368
Cs2 0.375 0.743 0.118
Cs3 0.625 0.257 0.882
Cs4 0.875 0.757 0.632
Ga1 0.122 0.625 0.746
Ga2 0.250 0.250 0.000
Ga3 0.378 0.125 0.503
Ga4 0.622 0.875 0.497
Ga5 0.750 0.750 0.000
Ga6 0.878 0.375 0.254
Sn1 0.008 0.750 0.258
Sn2 0.120 0.875 0.995
Sn3 0.250 0.750 0.500
Sn4 0.380 0.375 0.756
Sn5 0.492 0.750 0.742
Sn6 0.508 0.250 0.258
Sn7 0.620 0.625 0.244
Sn8 0.750 0.250 0.500
Sn9 0.880 0.125 0.005
Sn10 0.992 0.250 0.742

---

Entry 8:
CsGaSn2 | PBE | optimized geometry

Results
Total moment (μB/cell): 0.00
V (Å³ per atom): 36.771
N(E_F) (states/eV/cell): 0.66
Symmetry: R3m, No. 160
Formation energy from the elements (eV per atom): -0.0573

Lattice parameters (Å, degrees): 8.477 8.477 8.477 31.43 31.43 31.43
Positions (direct):
Cs1 0.000 0.000 0.000
Ga1 0.824 0.824 0.824
Sn1 0.206 0.206 0.206
Sn2 0.448 0.448 0.448

---

Entry 9:
Cs3GaSn | PBE | optimized geometry

Results
Total moment (μB/cell): 0.72
V (Å³ per atom): 56.193
N(E_F) (states/eV/cell): 7.89
Energy relative to the lowest polymorph listed for this composition (eV/atom): 0.000
Symmetry: C2/m, No. 12
Formation energy from the elements (eV per atom): -0.0193

Lattice parameters (Å, degrees): 8.799 8.799 9.367 117.97 117.97 82.48
Positions (direct):
Cs1 0.049 0.049 0.256
Cs2 0.070 0.459 0.778
Cs3 0.459 0.070 0.778
Cs4 0.541 0.930 0.222
Cs5 0.930 0.541 0.222
Cs6 0.951 0.951 0.744
Ga1 0.313 0.313 0.182
Ga2 0.687 0.687 0.818
Sn1 0.427 0.427 0.575
Sn2 0.573 0.573 0.425

---

Entry 10:
CsGaSn2 | PBE | optimized geometry

Results
Total moment (μB/cell): 0.00
V (Å³ per atom): 35.409
N(E_F) (states/eV/cell): 6.62
Symmetry: Pnma, No. 62
Formation energy from the elements (eV per atom): -0.0497

Lattice parameters (Å, degrees): 9.402 7.575 7.954 90.00 90.00 90.00
Positions (direct):
Cs1 0.024 0.250 0.104
Cs2 0.476 0.750 0.604
Cs3 0.524 0.250 0.396
Cs4 0.976 0.750 0.896
Ga1 0.137 0.750 0.347
Ga2 0.363 0.250 0.847
Ga3 0.637 0.750 0.153
Ga4 0.863 0.250 0.653
Sn1 0.145 0.059 0.575
Sn2 0.145 0.441 0.575
Sn3 0.355 0.559 0.075
Sn4 0.355 0.941 0.075
Sn5 0.645 0.059 0.925
Sn6 0.645 0.441 0.925
Sn7 0.855 0.559 0.425
Sn8 0.855 0.941 0.425

---

Entry 11:
CsGa3Sn | PBE | optimized geometry

Results
Total moment (μB/cell): 0.00
V (Å³ per atom): 40.772
N(E_F) (states/eV/cell): 4.60
Energy relative to the lowest polymorph listed for this composition (eV/atom): 0.921
Symmetry: Pm-3m, No. 221
Formation energy from the elements (eV per atom): 1.1929

Lattice parameters (Å, degrees): 5.885 5.885 5.885 90.00 90.00 90.00
Positions (direct):
Cs1 0.000 0.000 0.000
Ga1 0.000 0.000 0.500
Ga2 0.000 0.500 0.000
Ga3 0.500 0.000 0.000
Sn1 0.500 0.500 0.500

---

Entry 12:
CsGaSn | PBE | optimized geometry

Results
Total moment (μB/cell): 0.00
V (Å³ per atom): 36.761
N(E_F) (states/eV/cell): 4.14
Symmetry: Pnma, No. 62
Formation energy from the elements (eV per atom): -0.2049

Lattice parameters (Å, degrees): 17.749 4.985 4.985 90.00 90.00 90.00
Positions (direct):
Cs1 0.085 0.250 0.245
Cs2 0.415 0.750 0.745
Cs3 0.585 0.250 0.255
Cs4 0.915 0.750 0.755
Ga1 0.250 0.250 0.743
Ga2 0.250 0.750 0.243
Ga3 0.750 0.250 0.757
Ga4 0.750 0.750 0.257
Sn1 0.168 0.750 0.744
Sn2 0.332 0.250 0.244
Sn3 0.668 0.750 0.756
Sn4 0.832 0.250 0.256

---

Entry 13:
Cs3Ga4Sn2 | PBE | optimized geometry

Results
Total moment (μB/cell): 0.00
V (Å³ per atom): 35.808
N(E_F) (states/eV/cell): 4.26
Symmetry: P-1, No. 2
Formation energy from the elements (eV per atom): -0.0672

Lattice parameters (Å, degrees): 4.677 7.660 10.190 102.40 103.22 107.69
Positions (direct):
Cs1 0.000 0.000 0.000
Cs2 0.266 0.904 0.629
Cs3 0.734 0.096 0.371
Ga1 0.363 0.656 0.070
Ga2 0.427 0.491 0.363
Ga3 0.573 0.509 0.637
Ga4 0.637 0.344 0.930
Sn1 0.104 0.435 0.776
Sn2 0.896 0.565 0.224

---

Entry 14:
CsGaSn | PBE | optimized geometry

Results
Total moment (μB/cell): 0.00
V (Å³ per atom): 48.672
N(E_F) (states/eV/cell): 3.43
Symmetry: P1, No. 1
Formation energy from the elements (eV per atom): -0.0797

Lattice parameters (Å, degrees): 4.785 5.621 11.426 76.15 88.15 78.22
Positions (direct):
Cs1 0.000 0.000 0.000
Cs2 0.475 0.292 0.410
Ga1 0.433 0.291 0.754
Ga2 0.929 0.339 0.656
Sn1 0.079 0.819 0.620
Sn2 0.586 0.736 0.790

---

Entry 15:
CsGa2Sn8 | PBE | optimized geometry

Results
Total moment (μB/cell): 0.00
V (Å³ per atom): 39.967
N(E_F) (states/eV/cell): 8.31
Energy relative to the lowest polymorph listed for this composition (eV/atom): 0.099
Symmetry: P4/mmm, No. 123
Formation energy from the elements (eV per atom): 0.1186

Lattice parameters (Å, degrees): 6.721 6.721 9.734 90.00 90.00 90.00
Positions (direct):
Cs1 0.000 0.000 0.000
Ga1 0.000 0.500 0.500
Ga2 0.500 0.000 0.500
Sn1 0.253 0.253 0.333
Sn2 0.253 0.253 0.667
Sn3 0.253 0.747 0.333
Sn4 0.253 0.747 0.667
Sn5 0.747 0.253 0.333
Sn6 0.747 0.253 0.667
Sn7 0.747 0.747 0.333
Sn8 0.747 0.747 0.667

---

Entry 16:
Cs5Ga2Sn4 | PBE | optimized geometry

Results
Total moment (μB/cell): 0.00
V (Å³ per atom): 45.072
N(E_F) (states/eV/cell): 7.31
Symmetry: C2/m, No. 12
Formation energy from the elements (eV per atom): -0.0226

Lattice parameters (Å, degrees): 12.607 12.607 10.701 114.95 114.95 18.81
Positions (direct):
Cs1 0.000 0.000 0.000
Cs2 0.339 0.339 0.052
Cs3 0.339 0.339 0.630
Cs4 0.661 0.661 0.370
Cs5 0.661 0.661 0.948
Ga1 0.070 0.070 0.555
Ga2 0.930 0.930 0.445
Sn1 0.191 0.191 0.691
Sn2 0.499 0.499 0.357
Sn3 0.501 0.501 0.643
Sn4 0.809 0.809 0.309

---

Entry 17:
CsGaSn2 | PBE | optimized geometry

Results
Total moment (μB/cell): 0.00
V (Å³ per atom): 42.226
N(E_F) (states/eV/cell): 4.51
Symmetry: I4_1/amd, No. 141
Formation energy from the elements (eV per atom): 0.0059

Lattice parameters (Å, degrees): 10.409 10.409 10.409 146.74 146.74 47.74
Positions (direct):
Cs1 0.375 0.625 0.750
Cs2 0.625 0.375 0.250
Ga1 0.125 0.875 0.250
Ga2 0.875 0.125 0.750
Sn1 0.000 0.000 0.000
Sn2 0.000 0.000 0.500
Sn3 0.000 0.500 0.000
Sn4 0.500 0.000 0.500

---

Entry 18:
CsGa2Sn3 | PBE | optimized geometry

Results
Total moment (μB/cell): 0.00
V (Å³ per atom): 30.129
N(E_F) (states/eV/cell): 4.98
Symmetry: P6/mmm, No. 191
Formation energy from the elements (eV per atom): -0.0462

Lattice parameters (Å, degrees): 6.621 6.621 4.761 90.00 90.00 120.00
Positions (direct):
Cs1 0.000 0.000 0.000
Ga1 0.333 0.667 0.000
Ga2 0.667 0.333 0.000
Sn1 0.000 0.500 0.500
Sn2 0.500 0.000 0.500
Sn3 0.500 0.500 0.500

---

Entry 19:
Cs2Ga2Sn | PBE | optimized geometry

Results
Total moment (μB/cell): 0.00
V (Å³ per atom): 35.778
N(E_F) (states/eV/cell): 6.50
Energy relative to the lowest polymorph listed for this composition (eV/atom): 0.083
Symmetry: P4/mbm, No. 127
Formation energy from the elements (eV per atom): 0.0024

Lattice parameters (Å, degrees): 7.478 7.478 6.398 90.00 90.00 90.00
Positions (direct):
Cs1 0.187 0.313 0.000
Cs2 0.313 0.813 0.000
Cs3 0.687 0.187 0.000
Cs4 0.813 0.687 0.000
Ga1 0.123 0.623 0.500
Ga2 0.377 0.123 0.500
Ga3 0.623 0.877 0.500
Ga4 0.877 0.377 0.500
Sn1 0.000 0.000 0.500
Sn2 0.500 0.500 0.500

---

Entry 20:
CsGa6Sn6 | PBE | optimized geometry

Results
Total moment (μB/cell): 0.00
V (Å³ per atom): 35.259
N(E_F) (states/eV/cell): 11.71
Symmetry: Pm-3, No. 200
Formation energy from the elements (eV per atom): 0.0741

Lattice parameters (Å, degrees): 7.710 7.710 7.710 90.00 90.00 90.00
Positions (direct):
Cs1 0.000 0.000 0.000
Ga1 0.000 0.249 0.500
Ga2 0.000 0.751 0.500
Ga3 0.249 0.500 0.000
Ga4 0.500 0.000 0.249
Ga5 0.500 0.000 0.751
Ga6 0.751 0.500 0.000
Sn1 0.000 0.500 0.252
Sn2 0.000 0.500 0.748
Sn3 0.252 0.000 0.500
Sn4 0.500 0.252 0.000
Sn5 0.500 0.748 0.000
Sn6 0.748 0.000 0.500